(1)
A relaxed Li2CeGeS4 crystal. Source: Alexandria via LeMat-Bulk, functional PBE-GGA.

## Properties
Uncorrected formation energy ... -1.2099 eV/atom
D(E_F) ... 0.89 states/eV per cell
Calculated density ... 3.6 Mg/m³
Calculated volume ... 162 Å³/cell
E ... -5.07 eV/atom

abc: 6.421 3.937 6.806
angles: 90.00 109.81 90.00
Fractional positions:
Li  0.000  0.000  0.000
Li  0.000  0.500  0.500
Ce  0.500  0.000  0.500
Ge  0.500  0.500  0.000
S  0.249  0.500  0.247
S  0.255  0.000  0.750
S  0.745  0.000  0.250
S  0.751  0.500  0.753

***

(2)
A relaxed Li2CeSmGe2 crystal. Source: Alexandria via LeMat-Bulk, functional PBE-GGA.

## Properties
D(E_F) ... 6.34 states/eV per cell
Calculated density ... 5.8 Mg/m³
Calculated volume ... 129 Å³/cell
E ... -4.56 eV/atom

abc: 4.480 4.480 7.419
angles: 90.00 90.00 120.00
Fractional positions:
Li  0.333  0.667  0.258
Li  0.667  0.333  0.742
Ce  0.000  0.000  0.000
Sm  0.000  0.000  0.500
Ge  0.333  0.667  0.753
Ge  0.667  0.333  0.247

***

(3)
A relaxed Li2Ce2SmGe2 crystal. Source: Alexandria via LeMat-Bulk, functional PBE-GGA.

## Properties
D(E_F) ... 9.96 states/eV per cell
Calculated density ... 6.6 Mg/m³
Calculated volume ... 149 Å³/cell
E ... -4.72 eV/atom

abc: 9.245 9.245 9.245
angles: 27.58 27.58 27.58
Fractional positions:
Li  0.092  0.092  0.092
Li  0.908  0.908  0.908
Ce  0.358  0.358  0.358
Ce  0.642  0.642  0.642
Sm  0.500  0.500  0.500
Ge  0.236  0.236  0.236
Ge  0.764  0.764  0.764

***

(4)
A relaxed LiCeSmGe crystal. Source: Alexandria via LeMat-Bulk, functional PBE-GGA.

## Properties
D(E_F) ... 9.43 states/eV per cell
Calculated density ... 6.4 Mg/m³
Calculated volume ... 96 Å³/cell
E ... -4.62 eV/atom

abc: 5.145 5.145 5.145
angles: 60.00 60.00 60.00
Fractional positions:
Li  0.000  0.000  0.000
Ce  0.250  0.250  0.250
Sm  0.750  0.750  0.750
Ge  0.500  0.500  0.500

***

(5)
A relaxed Li2CeSm2Ge2 crystal. Source: Alexandria via LeMat-Bulk, functional PBE-GGA.

## Properties
D(E_F) ... 9.40 states/eV per cell
Calculated density ... 6.1 Mg/m³
Calculated volume ... 163 Å³/cell
E ... -4.50 eV/atom

abc: 9.432 9.432 9.432
angles: 27.93 27.93 27.93
Fractional positions:
Li  0.100  0.100  0.100
Li  0.900  0.900  0.900
Ce  0.500  0.500  0.500
Sm  0.373  0.373  0.373
Sm  0.627  0.627  0.627
Ge  0.235  0.235  0.235
Ge  0.765  0.765  0.765

***

(6)
A relaxed SrLi2CeGe2 crystal. Source: Alexandria via LeMat-Bulk, functional PBE-GGA.

## Properties
D(E_F) ... 1.15 states/eV per cell
Calculated density ... 4.6 Mg/m³
Calculated volume ... 140 Å³/cell
E ... -4.02 eV/atom

abc: 4.582 4.582 7.696
angles: 90.00 90.00 120.00
Fractional positions:
Sr  0.000  0.000  0.000
Li  0.333  0.667  0.711
Li  0.667  0.333  0.289
Ce  0.000  0.000  0.500
Ge  0.333  0.667  0.295
Ge  0.667  0.333  0.705